(1)
Computed, not measured: a relaxed Ce6Tc3H crystal at the PBE-GGA level of DFT.

Cell: 6.566 7.093 9.671 Å, 90.00 91.76 90.00°
Fractional positions:
Ce 0.181 0.330 0.411
Ce 0.320 0.532 0.729
Ce 0.681 0.170 0.911
Ce 0.319 0.830 0.089
Ce 0.637 0.153 0.554
Ce 0.180 0.032 0.771
Ce 0.363 0.847 0.446
Ce 0.819 0.670 0.589
Ce 0.680 0.468 0.271
Ce 0.820 0.968 0.229
Ce 0.863 0.653 0.946
Ce 0.137 0.347 0.054
Tc 0.013 0.666 0.293
Tc 0.487 0.166 0.207
Tc 0.500 0.500 0.000
Tc 0.513 0.834 0.793
Tc 0.987 0.334 0.707
Tc 0.000 0.000 0.500
H 0.500 0.500 0.500
H 0.000 0.000 0.000

Computed properties:
Energy: -7.112 eV/atom
Space group: P2_1/c

---

(2)
Computed, not measured: a relaxed Ce2TcH6 crystal at the PBE-GGA level of DFT.

Cell: 5.202 5.202 5.202 Å, 60.00 60.00 60.00°
Fractional positions:
H 0.244 0.756 0.244
H 0.244 0.244 0.756
H 0.756 0.244 0.756
H 0.244 0.756 0.756
H 0.756 0.756 0.244
H 0.756 0.244 0.244
Ce 0.250 0.250 0.250
Ce 0.750 0.750 0.750
Tc 0.000 0.000 0.000

Computed properties:
Energy: -5.171 eV/atom
Space group: Fm-3m

---

(3)
Computed, not measured: a relaxed Ce2TcH5 crystal at the PBE-GGA level of DFT.

Cell: 5.098 5.099 5.170 Å, 119.56 119.55 90.00°
Fractional positions:
H 0.755 0.253 0.009
H 0.254 0.253 0.009
H 0.253 0.755 0.009
H 0.756 0.756 0.512
H 0.755 0.755 0.009
Ce 0.250 0.751 0.501
Ce 0.751 0.250 0.501
Tc 0.003 0.003 0.005

Computed properties:
Energy: -5.290 eV/atom
Space group: I4mm

---

(4)
Computed, not measured: a relaxed CeTcH6 crystal at the PBE-GGA level of DFT.

Cell: 4.694 4.694 4.305 Å, 57.14 57.14 60.04°
Fractional positions:
H 0.123 0.537 0.216
H 0.877 0.877 0.782
H 0.537 0.123 0.216
H 0.877 0.463 0.784
H 0.463 0.877 0.784
H 0.123 0.123 0.218
Ce 0.500 0.500 0.500
Tc 0.000 0.000 0.000

Computed properties:
Energy: -4.675 eV/atom
Space group: C2/m

---

(5)
Computed, not measured: a relaxed Ce12Tc3H5 crystal at the PBE-GGA level of DFT.

Cell: 13.011 13.011 13.011 Å, 109.47 109.47 109.47°
Fractional positions:
Ce 0.779 0.312 0.894
Ce 0.582 0.615 0.394
Ce 0.606 0.885 0.418
Ce 0.688 0.221 0.606
Ce 0.467 0.779 0.885
Ce 0.779 0.467 0.385
Ce 0.418 0.385 0.606
Ce 0.918 0.812 0.533
Ce 0.312 0.779 0.394
Ce 0.312 0.533 0.418
Ce 0.221 0.533 0.615
Ce 0.394 0.115 0.582
Ce 0.533 0.221 0.115
Ce 0.688 0.467 0.582
Ce 0.033 0.615 0.721
Ce 0.418 0.033 0.312
Ce 0.967 0.385 0.279
Ce 0.812 0.918 0.033
Ce 0.188 0.106 0.721
Ce 0.394 0.279 0.312
Ce 0.385 0.967 0.779
Ce 0.082 0.188 0.467
Ce 0.967 0.582 0.188
Ce 0.082 0.894 0.115
Ce 0.812 0.894 0.279
Ce 0.115 0.394 0.082
Ce 0.894 0.812 0.779
Ce 0.894 0.082 0.615
Ce 0.582 0.967 0.688
Ce 0.721 0.115 0.033
Ce 0.885 0.606 0.918
Ce 0.615 0.582 0.894
Ce 0.918 0.106 0.885
Ce 0.606 0.721 0.688
Ce 0.106 0.918 0.385
Ce 0.721 0.606 0.188
Ce 0.115 0.721 0.533
Ce 0.467 0.688 0.082
Ce 0.221 0.688 0.106
Ce 0.615 0.033 0.221
Ce 0.533 0.312 0.918
Ce 0.188 0.082 0.967
Ce 0.279 0.885 0.967
Ce 0.279 0.394 0.812
Ce 0.106 0.188 0.221
Ce 0.885 0.279 0.467
Ce 0.033 0.418 0.812
Ce 0.385 0.418 0.106
H 0.125 0.375 0.250
H 0.250 0.875 0.125
H 0.000 0.000 0.000
H 0.500 0.000 0.000
H 0.125 0.750 0.375
H 0.375 0.125 0.750
H 0.625 0.750 0.875
H 0.750 0.625 0.375
H 0.000 0.000 0.500
H 0.500 0.500 0.500
H 0.875 0.250 0.625
H 0.500 0.000 0.500
H 0.500 0.500 0.000
H 0.875 0.625 0.750
H 0.625 0.875 0.250
H 0.000 0.500 0.000
H 0.375 0.250 0.125
H 0.250 0.375 0.625
H 0.750 0.125 0.875
H 0.000 0.500 0.500
Tc 0.625 0.375 0.750
Tc 0.250 0.125 0.375
Tc 0.875 0.125 0.250
Tc 0.750 0.875 0.625
Tc 0.125 0.875 0.750
Tc 0.375 0.750 0.625
Tc 0.625 0.250 0.375
Tc 0.875 0.750 0.125
Tc 0.750 0.375 0.125
Tc 0.250 0.625 0.875
Tc 0.125 0.250 0.875
Tc 0.375 0.625 0.250

Computed properties:
Energy: -6.051 eV/atom
Space group: Ia-3d

---

(6)
Computed, not measured: a relaxed CeTcH2 crystal at the PBE-GGA level of DFT.

Cell: 3.869 3.869 4.679 Å, 65.58 65.58 60.00°
Fractional positions:
Tc 0.000 0.000 0.000
Ce 0.500 0.500 0.500
H 0.143 0.143 0.572
H 0.857 0.857 0.428

Computed properties:
Energy: -5.795 eV/atom
Space group: R-3m

---

(7)
Computed, not measured: a relaxed CeTcH3 crystal at the PBE-GGA level of DFT.

Cell: 3.724 3.724 3.724 Å, 90.00 90.00 90.00°
Fractional positions:
H 0.000 0.000 0.500
H 0.000 0.500 0.000
H 0.500 0.000 0.000
Ce 0.500 0.500 0.500
Tc 0.000 0.000 0.000

Computed properties:
Energy: -5.598 eV/atom
Space group: Pm-3m

---

(8)
Computed, not measured: a relaxed Ce3TcH6 crystal at the PBE-GGA level of DFT.

Cell: 4.906 7.407 7.407 Å, 107.17 90.00 90.00°
Fractional positions:
H 0.214 0.644 0.636
H 0.222 0.012 0.988
H 0.143 0.121 0.624
H 0.643 0.879 0.376
H 0.214 0.364 0.356
H 0.662 0.211 0.789
H 0.714 0.356 0.364
H 0.143 0.376 0.879
H 0.643 0.624 0.121
H 0.714 0.636 0.644
H 0.162 0.789 0.211
H 0.722 0.988 0.012
Ce 0.972 0.685 0.915
Ce 0.472 0.315 0.085
Ce 0.972 0.085 0.315
Ce 0.449 0.379 0.621
Ce 0.949 0.621 0.379
Ce 0.472 0.915 0.685
Tc 0.994 0.147 0.853
Tc 0.494 0.853 0.147

Computed properties:
Energy: -5.123 eV/atom
Space group: Cmc2_1

---

(9)
Computed, not measured: a relaxed Ce2TcH8 crystal at the PBE-GGA level of DFT.

Cell: 3.646 4.491 6.972 Å, 108.80 105.16 90.00°
Fractional positions:
Ce 0.852 0.352 0.704
Ce 0.148 0.648 0.296
H 0.615 0.895 0.230
H 0.000 0.192 0.000
H 0.615 0.335 0.230
H 0.385 0.665 0.770
H 0.385 0.105 0.770
H 0.237 0.237 0.473
H 0.763 0.763 0.527
H 0.000 0.808 0.000
Tc 0.500 0.000 0.000

Computed properties:
Energy: -4.774 eV/atom
Space group: Immm

---

(10)
Computed, not measured: a relaxed Ce2ZnTcH6 crystal at the PBE-GGA level of DFT.

Cell: 4.708 4.708 13.275 Å, 79.79 79.79 60.00°
Fractional positions:
H 0.659 0.110 0.573
H 0.110 0.659 0.573
H 0.205 0.666 0.924
H 0.341 0.890 0.427
H 0.666 0.205 0.924
H 0.659 0.659 0.573
H 0.334 0.795 0.076
H 0.795 0.334 0.076
H 0.890 0.341 0.427
H 0.341 0.341 0.427
H 0.205 0.205 0.924
H 0.795 0.795 0.076
Zn 0.421 0.421 0.737
Zn 0.579 0.579 0.263
Tc 0.500 0.500 0.500
Tc 0.000 0.000 0.000
Ce 0.297 0.297 0.109
Ce 0.130 0.130 0.609
Ce 0.703 0.703 0.891
Ce 0.870 0.870 0.391

Computed properties:
Energy: -4.688 eV/atom
Space group: R-3m